Density functional theory data (GGA-PBE) for crystalline CsCu2TeBr8 at its relaxed geometry.

Cell lengths 11.163, 11.163, 11.163 Å; angles 35.83, 35.83, 35.83 degrees
Element x y z (fractional)
Cs 0.000 0.000 0.000
Cu 0.243 0.243 0.243
Cu 0.757 0.757 0.757
Te 0.500 0.500 0.500
Br 0.125 0.443 0.775
Br 0.225 0.875 0.557
Br 0.317 0.317 0.317
Br 0.443 0.775 0.125
Br 0.557 0.225 0.875
Br 0.683 0.683 0.683
Br 0.775 0.125 0.443
Br 0.875 0.557 0.225

Properties
For the formation energy without anion corrections, the calculation gives -52.45 kJ per mole of atoms. The space group is R-3, No. 148.


Density functional theory data (GGA-PBE) for crystalline LaPaSi2O8 at its relaxed geometry.

Cell lengths 5.947, 5.947, 5.947 Å; angles 106.16, 106.16, 116.31 degrees
Element x y z (fractional)
La 0.000 0.000 0.000
Pa 0.750 0.250 0.500
Si 0.250 0.750 0.500
Si 0.500 0.500 0.000
O 0.073 0.403 0.330
O 0.073 0.743 0.670
O 0.155 0.341 0.814
O 0.257 0.927 0.330
O 0.527 0.341 0.186
O 0.597 0.927 0.670
O 0.659 0.473 0.814
O 0.659 0.845 0.186

Properties
For the formation energy without anion corrections, the calculation gives -309.33 kJ per mole of atoms. The space group is I-4m2, No. 119.


Density functional theory data (GGA-PBE) for crystalline PuAg8Sn3 at its relaxed geometry.

Cell lengths 5.697, 5.697, 9.080 Å; angles 90.00, 90.00, 120.00 degrees
Element x y z (fractional)
Pu 0.000 0.000 0.000
Ag 0.164 0.327 0.677
Ag 0.164 0.836 0.677
Ag 0.333 0.667 0.430
Ag 0.333 0.667 0.929
Ag 0.503 0.005 0.182
Ag 0.503 0.497 0.182
Ag 0.673 0.836 0.677
Ag 0.995 0.497 0.182
Sn 0.000 0.000 0.379
Sn 0.667 0.333 0.479
Sn 0.667 0.333 0.867

Properties
The calculation puts the total energy at -4.08 eV per atom. The space group is P3m1, No. 156.


Density functional theory data (GGA-PBE) for crystalline KHgAu2 at its relaxed geometry.

Cell lengths 2.966, 4.383, 7.517 Å; angles 90.00, 90.00, 90.00 degrees
Element x y z (fractional)
K 0.000 0.000 0.000
Hg 0.000 0.000 0.500
Au 0.500 0.500 0.295
Au 0.500 0.500 0.705

Properties
The calculation puts the total energy at -2.05 eV per atom. The space group is Pmmm, No. 47.


Density functional theory data (GGA-PBE) for crystalline Cd4Hg2Au at its relaxed geometry.

Cell lengths 3.404, 3.404, 16.419 Å; angles 91.18, 91.18, 56.09 degrees
Element x y z (fractional)
Cd 0.162 0.162 0.427
Cd 0.170 0.170 0.869
Cd 0.830 0.830 0.131
Cd 0.838 0.838 0.573
Hg 0.492 0.492 0.279
Hg 0.508 0.508 0.721
Au 0.500 0.500 0.000

Properties
The calculation puts the total energy at -1.09 eV per atom. The space group is C2/m, No. 12.


Density functional theory data (GGA-PBE) for crystalline La3MgAg2 at its relaxed geometry.

Cell lengths 3.883, 3.883, 11.526 Å; angles 90.00, 90.00, 90.00 degrees
Element x y z (fractional)
La 0.000 0.000 0.000
La 0.000 0.000 0.325
La 0.000 0.000 0.675
Mg 0.500 0.500 0.500
Ag 0.500 0.500 0.167
Ag 0.500 0.500 0.833

Properties
The calculation puts the total energy at -3.89 eV per atom. The space group is P4/mmm, No. 123.